DyHo3Sc2Bi2Os: optimized geometry, PBE.

Values from the calculation:
- space group = Amm2, No. 38

a b c (Å): 4.218 8.065 8.065
angles (deg): 119.98 90.00 90.00
Positions (direct):
Dy1 0.000 0.000 0.000
Ho1 0.500 0.157 0.767
Ho2 0.500 0.390 0.390
Ho3 0.500 0.767 0.157
Sc1 0.000 0.544 0.770
Sc2 0.000 0.770 0.544
Bi1 0.000 0.105 0.444
Bi2 0.000 0.444 0.105
Os1 0.500 0.757 0.757

Dy2HoTm3Bi2Os: optimized geometry, PBE.

Values from the calculation:
- space group = Amm2, No. 38

a b c (Å): 4.207 8.249 8.249
angles (deg): 119.89 90.00 90.00
Positions (direct):
Dy1 0.000 0.118 0.882
Dy2 0.000 0.882 0.118
Ho1 0.000 0.647 0.647
Tm1 0.500 0.266 0.266
Tm2 0.500 0.499 0.882
Tm3 0.500 0.882 0.499
Bi1 0.000 0.216 0.549
Bi2 0.000 0.549 0.216
Os1 0.500 0.881 0.881

DyHo2Tm3Bi2Os: optimized geometry, PBE.

Values from the calculation:
- space group = Amm2, No. 38

a b c (Å): 4.207 8.250 8.250
angles (deg): 120.08 90.00 90.00
Positions (direct):
Dy1 0.000 0.000 0.000
Ho1 0.000 0.529 0.764
Ho2 0.000 0.764 0.529
Tm1 0.500 0.148 0.764
Tm2 0.500 0.382 0.382
Tm3 0.500 0.764 0.148
Bi1 0.000 0.098 0.432
Bi2 0.000 0.432 0.098
Os1 0.500 0.763 0.763

Dy3YHo2Bi2Os: optimized geometry, PBE.

Values from the calculation:
- space group = Amm2, No. 38

a b c (Å): 4.237 8.293 8.293
angles (deg): 120.06 90.00 90.00
Positions (direct):
Dy1 0.000 0.000 0.000
Dy2 0.000 0.386 0.774
Dy3 0.000 0.774 0.386
Y1 0.500 0.622 0.622
Ho1 0.500 0.153 0.387
Ho2 0.500 0.387 0.153
Bi1 0.500 0.054 0.720
Bi2 0.500 0.720 0.054
Os1 0.000 0.384 0.384

DyHoBi2S2: optimized geometry, PBE.

Values from the calculation:
- space group = P4mm, No. 99

a b c (Å): 4.210 4.210 8.676
angles (deg): 90.00 90.00 90.00
Positions (direct):
Dy1 0.000 0.000 0.000
Ho1 0.500 0.500 0.367
Bi1 0.000 0.500 0.683
Bi2 0.500 0.000 0.683
S1 0.000 0.000 0.310
S2 0.500 0.500 0.059

DyBiI2O2: optimized geometry, PBE.

Values from the calculation:
- space group = P4mm, No. 99

a b c (Å): 3.966 3.966 9.262
angles (deg): 90.00 90.00 90.00
Positions (direct):
Dy1 0.000 0.000 0.000
Bi1 0.500 0.500 0.252
I1 0.000 0.000 0.456
I2 0.500 0.500 0.799
O1 0.000 0.500 0.117
O2 0.500 0.000 0.117

| no. | electronic total energy (Ry/atom) |
| --- | --- |
| 1 | -0.4534 |
| 2 | -0.4181 |
| 3 | -0.4182 |
| 4 | -0.4384 |
| 5 | -0.4006 |
| 6 | -0.4000 |